# NdCrP2O8

A geometry-optimized NdCrP2O8 structure (GGA+U, Alexandria via LeMat-Bulk).

Geometry as POSCAR:
```
NdCrP2O8
1.0
5.123 0.000 0.000
-2.562 4.437 0.000
0.000 0.000 6.745
Nd Cr P O
1 1 2 8
Cartesian
0.000 0.000 0.000
0.000 0.000 3.373
0.000 2.958 1.576
2.562 1.479 5.170
0.000 1.487 2.051
-1.274 3.693 2.051
0.000 2.958 0.040
1.288 0.744 4.694
1.274 3.693 2.051
2.562 1.479 6.706
3.835 0.744 4.694
2.562 2.949 4.694
```

Computed properties:
The total DFT energy (no corrections) is -7.7384 eV/atom. The calculation puts the spin magnetization at 2.98 μB/f.u.